(1)
HoNpRe | PBE | optimized geometry

Calculated values
The calculation puts the formation energy at 0.490 eV per atom.

Structure (POSCAR):
```
HoNpRe
1.0
6.685 0.000 0.000
0.000 6.685 0.000
0.000 0.000 6.685
Ho Np Re
4 4 4
direct
0.000 0.000 0.000 Ho
0.000 0.500 0.500 Ho
0.500 0.000 0.500 Ho
0.500 0.500 0.000 Ho
0.000 0.000 0.500 Np
0.000 0.500 0.000 Np
0.500 0.000 0.000 Np
0.500 0.500 0.500 Np
0.250 0.250 0.750 Re
0.250 0.750 0.250 Re
0.750 0.250 0.250 Re
0.750 0.750 0.750 Re
```


(2)
HoNpSc | PBE | optimized geometry

Calculated values
The polymorph energy (0 for the lowest one) comes out at 0.000 eV per atom. The calculation puts the formation energy at 1.073 eV per atom.

Structure (POSCAR):
```
HoNpSc
1.0
7.213 0.000 0.000
0.000 7.213 0.000
0.000 0.000 7.213
Ho Np Sc
4 4 4
direct
0.000 0.000 0.000 Ho
0.000 0.500 0.500 Ho
0.500 0.000 0.500 Ho
0.500 0.500 0.000 Ho
0.000 0.000 0.500 Np
0.000 0.500 0.000 Np
0.500 0.000 0.000 Np
0.500 0.500 0.500 Np
0.250 0.250 0.250 Sc
0.250 0.750 0.750 Sc
0.750 0.250 0.750 Sc
0.750 0.750 0.250 Sc
```


(3)
SrHoNp | PBE | optimized geometry

Calculated values
The total energy comes out at -60.1 eV/cell.

Structure (POSCAR):
```
SrHoNp
1.0
7.870 0.000 0.000
0.000 7.870 0.000
0.000 0.000 7.870
Sr Ho Np
4 4 4
direct
0.000 0.000 0.000 Sr
0.000 0.500 0.500 Sr
0.500 0.000 0.500 Sr
0.500 0.500 0.000 Sr
0.250 0.250 0.750 Ho
0.250 0.750 0.250 Ho
0.750 0.250 0.250 Ho
0.750 0.750 0.750 Ho
0.000 0.000 0.500 Np
0.000 0.500 0.000 Np
0.500 0.000 0.000 Np
0.500 0.500 0.500 Np
```


(4)
HoNpTc | PBE | optimized geometry

Calculated values
The polymorph energy (0 for the lowest one) comes out at 0.000 eV per atom. The calculation puts the formation energy at 1.047 eV per atom.

Structure (POSCAR):
```
HoNpTc
1.0
6.441 0.000 0.000
0.000 6.441 0.000
0.000 0.000 6.441
Ho Np Tc
4 4 4
direct
0.000 0.000 0.000 Ho
0.000 0.500 0.500 Ho
0.500 0.000 0.500 Ho
0.500 0.500 0.000 Ho
0.250 0.250 0.250 Np
0.250 0.750 0.750 Np
0.750 0.250 0.750 Np
0.750 0.750 0.250 Np
0.000 0.000 0.500 Tc
0.000 0.500 0.000 Tc
0.500 0.000 0.000 Tc
0.500 0.500 0.500 Tc
```


The following calculated density values (in g/cm³) correspond, in order, to the records above: 13.1, 7.9, 6.7, 12.4.